P) First-principles (GGA-PBE) data for an optimized crystal structure of Cs3AgAu, as listed in the Alexandria database.

Volume = 50.58 A^3/atom

The structure in extended XYZ format:
```
10
Lattice="5.3757 0.0000 0.0000 0.0000 11.3703 0.0000 0.0000 0.0000 8.2748" Properties=species:S:1:pos:R:3 pbc="T T T"
Cs 1.3439 0.6135 1.9714
Cs 1.3439 2.8426 6.2039
Cs 1.3439 5.0716 1.9714
Cs 4.0318 6.2987 6.3034
Cs 4.0318 8.5277 2.0709
Cs 4.0318 10.7568 6.3034
Ag 1.3439 8.5277 4.8162
Ag 4.0318 2.8426 3.4586
Au 1.3439 8.5277 7.7215
Au 4.0318 2.8426 0.5534
```

=====

Q) First-principles (GGA-PBE) data for an optimized crystal structure of Cs3AgAu, as listed in the Alexandria database.

Volume = 65.30 A^3/atom

The structure in extended XYZ format:
```
5
Lattice="6.8858 0.0000 0.0000 0.0000 6.8858 0.0000 0.0000 0.0000 6.8858" Properties=species:S:1:pos:R:3 pbc="T T T"
Cs 0.0000 0.0000 3.4429
Cs 0.0000 3.4429 0.0000
Cs 3.4429 0.0000 0.0000
Ag 3.4429 3.4429 3.4429
Au 0.0000 0.0000 0.0000
```

=====

Most stable: P). Least stable: Q).

=====

P) First-principles (GGA-PBE) data for an optimized crystal structure of Cs2AgHAu, as listed in the Alexandria database.

Volume = 32.37 A^3/atom

The structure in extended XYZ format:
```
5
Lattice="6.4087 0.0000 0.0000 0.0000 6.4087 0.0000 0.0000 0.0000 3.9409" Properties=species:S:1:pos:R:3 pbc="T T T"
Cs 0.0000 3.2044 0.0000
Cs 3.2044 0.0000 0.0000
Ag 0.0000 0.0000 1.9705
H 0.0000 0.0000 0.0000
Au 3.2044 3.2044 1.9705
```

=====

Q) First-principles (GGA-PBE) data for an optimized crystal structure of Cs2AgHAu, as listed in the Alexandria database.

Volume = 32.88 A^3/atom

The structure in extended XYZ format:
```
5
Lattice="6.5650 0.0000 0.0000 0.0000 6.5650 0.0000 0.0000 0.0000 3.8145" Properties=species:S:1:pos:R:3 pbc="T T T"
Cs 0.0000 3.2825 0.0000
Cs 3.2825 0.0000 0.0000
Ag 0.0000 0.0000 1.9072
H 3.2825 3.2825 0.0000
Au 3.2825 3.2825 1.9072
```

=====

Most stable: P). Least stable: Q).

=====

P) First-principles (GGA-PBE) data for an optimized crystal structure of Cs2AgHgAu, as listed in the Alexandria database.

Volume = 50.42 A^3/atom

The structure in extended XYZ format:
```
5
Lattice="6.8132 0.0000 0.0000 0.0000 6.8132 0.0000 0.0000 0.0000 5.4306" Properties=species:S:1:pos:R:3 pbc="T T T"
Cs 0.0000 3.4066 0.0000
Cs 3.4066 0.0000 0.0000
Ag 0.0000 0.0000 2.7153
Hg 3.4066 3.4066 2.7153
Au 3.4066 3.4066 0.0000
```

=====

Q) First-principles (GGA-PBE) data for an optimized crystal structure of Cs2AgHgAu, as listed in the Alexandria database.

Volume = 50.08 A^3/atom

The structure in extended XYZ format:
```
5
Lattice="6.7908 0.0000 0.0000 0.0000 6.7908 0.0000 0.0000 0.0000 5.4300" Properties=species:S:1:pos:R:3 pbc="T T T"
Cs 0.0000 3.3954 0.0000
Cs 3.3954 0.0000 0.0000
Ag 0.0000 0.0000 0.0000
Hg 0.0000 0.0000 2.7150
Au 3.3954 3.3954 2.7150
```

=====

Most stable: P). Least stable: Q).

=====

P) First-principles (GGA-PBE) data for an optimized crystal structure of Cs2AgHgAu, as listed in the Alexandria database.

Volume = 49.71 A^3/atom

The structure in extended XYZ format:
```
5
Lattice="6.8377 0.0000 0.0000 0.0000 6.8377 0.0000 0.0000 0.0000 5.3163" Properties=species:S:1:pos:R:3 pbc="T T T"
Cs 0.0000 3.4189 0.0000
Cs 3.4189 0.0000 0.0000
Ag 0.0000 0.0000 2.6581
Hg 3.4189 3.4189 2.6581
Au 0.0000 0.0000 0.0000
```

=====

Q) First-principles (GGA-PBE) data for an optimized crystal structure of Cs2AgHgAu, as listed in the Alexandria database.

Volume = 42.47 A^3/atom

The structure in extended XYZ format:
```
10
Lattice="8.8555 0.0000 0.0000 0.0000 5.3318 0.0000 -0.2609 0.0000 8.9950" Properties=species:S:1:pos:R:3 pbc="T T T"
Cs -0.0736 1.3329 2.8080
Cs 4.1675 3.9988 6.7784
Cs 4.4270 1.3329 2.2165
Cs 8.6681 3.9988 6.1870
Ag 1.5045 3.9988 0.6646
Ag 7.0901 1.3329 8.3304
Hg 1.4187 1.3329 8.4528
Hg 7.1759 3.9988 0.5422
Au 2.2487 3.9988 3.4463
Au 6.3458 1.3329 5.5487
```

=====

Most stable: Q). Least stable: P).

=====

P) First-principles (GGA-PBE) data for an optimized crystal structure of CsRbAgAu, as listed in the Alexandria database.

Volume = 40.81 A^3/atom

The structure in extended XYZ format:
```
4
Lattice="0.0000 4.3377 4.3377 4.3377 0.0000 4.3377 4.3377 4.3377 0.0000" Properties=species:S:1:pos:R:3 pbc="T T T"
Cs 0.0000 0.0000 0.0000
Rb 4.3377 4.3377 4.3377
Ag 2.1688 2.1688 2.1688
Au 6.5065 6.5065 6.5065
```

=====

Q) First-principles (GGA-PBE) data for an optimized crystal structure of CsRbAgAu, as listed in the Alexandria database.

Volume = 48.66 A^3/atom

The structure in extended XYZ format:
```
4
Lattice="4.2864 -2.4751 0.0000 4.2864 2.4751 0.0000 -2.8668 0.0000 9.1723" Properties=species:S:1:pos:R:3 pbc="T T T"
Cs 0.0000 0.0000 0.0000
Rb 0.0013 0.0000 4.4987
Ag 5.7169 0.0000 2.3647
Au 2.8588 0.0000 2.3194
```

=====

Most stable: Q). Least stable: P).

=====

P) First-principles (GGA-PBE) data for an optimized crystal structure of CsTi2AgAu, as listed in the Alexandria database.

Volume = 29.28 A^3/atom

The structure in extended XYZ format:
```
5
Lattice="5.1779 0.0000 0.0000 0.0000 5.1779 0.0000 0.0000 0.0000 5.4604" Properties=species:S:1:pos:R:3 pbc="T T T"
Cs 0.0000 0.0000 0.0000
Ti 0.0000 2.5889 2.7302
Ti 2.5889 0.0000 2.7302
Ag 2.5889 2.5889 2.7302
Au 2.5889 2.5889 0.0000
```

=====

Q) First-principles (GGA-PBE) data for an optimized crystal structure of CsTi2AgAu, as listed in the Alexandria database.

Volume = 26.27 A^3/atom

The structure in extended XYZ format:
```
5
Lattice="4.9459 0.0000 0.0000 0.0000 4.9459 0.0000 0.0000 0.0000 5.3697" Properties=species:S:1:pos:R:3 pbc="T T T"
Cs 0.0000 0.0000 0.0000
Ti 0.0000 2.4730 0.0000
Ti 2.4730 0.0000 0.0000
Ag 0.0000 0.0000 2.6849
Au 2.4730 2.4730 2.6849
```

=====

Most stable: P). Least stable: Q).